No. 1
The following is a PBE calculation of Tl2PtW after structural relaxation, from Alexandria via LeMat-Bulk.

Results
Crystal system: trigonal
ΔE_f: 65.6 kJ per mole of atoms

Structure (CIF):
```
data_Tl2PtW
_chemical_formula_sum 'Tl6 Pt3 W3'
_symmetry_space_group_name_H-M 'R -3 m'
_symmetry_Int_Tables_number 166
_symmetry_space_group_name_Hall '-R 3 2"'
_cell_length_a 3.0948
_cell_length_b 3.0948
_cell_length_c 28.2004
_cell_angle_alpha 90.00
_cell_angle_beta 90.00
_cell_angle_gamma 120.00
loop_
_atom_site_label
_atom_site_fract_x
_atom_site_fract_y
_atom_site_fract_z
_atom_site_occupancy
Tl1 0.0000 0.0000 0.2476 1
Pt1 0.0000 0.0000 0.5000 1
W1 0.0000 0.0000 0.0000 1
```

No. 2
The following is a PBE calculation of Cs5Sb2Br12 after structural relaxation, from Alexandria via LeMat-Bulk.

Results
Crystal system: triclinic
ΔE_f (raw): -1.234 eV/atom

Structure (CIF):
```
data_Cs5Sb2Br12
_chemical_formula_sum 'Cs5 Sb2 Br12'
_symmetry_space_group_name_H-M 'P -1'
_symmetry_Int_Tables_number 2
_cell_length_a 7.9577
_cell_length_b 11.1945
_cell_length_c 11.9855
_cell_angle_alpha 93.02
_cell_angle_beta 109.09
_cell_angle_gamma 90.17
loop_
_symmetry_equiv_pos_as_xyz
'x,y,z'
'-x,-y,-z'
loop_
_atom_site_label
_atom_site_fract_x
_atom_site_fract_y
_atom_site_fract_z
_atom_site_occupancy
Cs1 0.0000 0.0000 0.0000 1
Cs2 0.3229 0.9877 0.6458 1
Cs3 0.3257 0.5275 0.6544 1
Sb1 0.1630 0.2432 0.3237 1
Br1 0.0143 0.2515 0.5046 1
Br2 0.1600 0.9890 0.3208 1
Br3 0.1636 0.4863 0.3217 1
Br4 0.1786 0.7724 0.8422 1
Br5 0.3397 0.2266 0.1571 1
Br6 0.4902 0.2511 0.5043 1
```

No. 3
The following is a PBE calculation of AgSCl2 after structural relaxation, from Alexandria via LeMat-Bulk.

Results
Crystal system: cubic
ΔE_f (raw): 0.502 eV/atom

Structure (CIF):
```
data_AgSCl2
_chemical_formula_sum 'Ag4 S4 Cl8'
_symmetry_space_group_name_H-M 'F m -3 m'
_symmetry_Int_Tables_number 225
_symmetry_space_group_name_Hall '-F 4 2 3'
_cell_length_a 6.9789
_cell_length_b 6.9789
_cell_length_c 6.9789
_cell_angle_alpha 90.00
_cell_angle_beta 90.00
_cell_angle_gamma 90.00
loop_
_atom_site_label
_atom_site_fract_x
_atom_site_fract_y
_atom_site_fract_z
_atom_site_occupancy
Ag1 0.0000 0.0000 0.0000 1
S1 0.0000 0.0000 0.5000 1
Cl1 0.2500 0.2500 0.2500 1
```

No. 4
The following is a PBE calculation of Fe2HgAu after structural relaxation, from Alexandria via LeMat-Bulk.

Results
Crystal system: tetragonal
ΔE_f: 59.4 kJ per mole of atoms

Structure (CIF):
```
data_Fe2HgAu
_chemical_formula_sum 'Fe8 Hg4 Au4'
_symmetry_space_group_name_H-M 'I -4 2 d'
_symmetry_Int_Tables_number 122
_symmetry_space_group_name_Hall 'I -4 2bw'
_cell_length_a 7.2063
_cell_length_b 7.2063
_cell_length_c 5.4429
_cell_angle_alpha 90.00
_cell_angle_beta 90.00
_cell_angle_gamma 90.00
loop_
_atom_site_label
_atom_site_fract_x
_atom_site_fract_y
_atom_site_fract_z
_atom_site_occupancy
Fe1 0.2386 0.7500 0.1250 1
Hg1 0.0000 0.0000 0.5000 1
Au1 0.0000 0.0000 0.0000 1
```

no.,raw total energy (eV/atom)
1,-5.2516
2,-2.9486
3,-2.1660
4,-4.5106